Record 1
! Ir4Br, relaxed, DFT GGA-PBE; values from VASP
! Electronic total energy ... -6.558 eV per atom
! Symmetry ... No. 87
! Formation energy from raw total energies ... 866 meV per atom
! Density of states at the Fermi level ... 5.05 states/eV/cell
&SYSTEM
  ibrav = 0, nat = 5, ntyp = 2
/
ATOMIC_SPECIES
Ir 192.22 Ir.upf
Br 79.90 Br.upf
CELL_PARAMETERS angstrom
4.3717 -1.0987 1.8305
-4.1418 -2.5459 -0.1827
1.0983 0.1292 -4.7378
ATOMIC_POSITIONS crystal
Ir 0.1792 0.6093 0.7885
Ir 0.6093 0.8208 0.4301
Ir 0.8208 0.3907 0.2115
Ir 0.3907 0.1792 0.5699
Br 0.0000 0.0000 0.0000

Record 2
! IrBr3, relaxed, DFT GGA-PBE; values from VASP
! Electronic total energy ... -3.149 eV per atom
! Symmetry ... No. 71
! Formation energy from raw total energies ... 321 meV per atom
! Density of states at the Fermi level ... 3.32 states/eV/cell
&SYSTEM
  ibrav = 0, nat = 4, ntyp = 2
/
ATOMIC_SPECIES
Ir 192.22 Ir.upf
Br 79.90 Br.upf
CELL_PARAMETERS angstrom
-0.9860 -6.2794 0.0859
4.1512 -2.7309 3.9648
-4.9532 3.9261 -0.6796
ATOMIC_POSITIONS crystal
Ir 0.2500 0.7500 0.5000
Br 0.0889 0.0889 0.0000
Br 0.7500 0.2500 0.5000
Br 0.4111 0.4111 0.0000